[1]
# PBE NbV4Rh7, optimized geometry
data_NbV4Rh7
_symmetry_space_group_name_H-M 'P 1'
_symmetry_Int_Tables_number 1
_cell_length_a 4.633
_cell_length_b 8.123
_cell_length_c 5.651
_cell_angle_alpha 78.45
_cell_angle_beta 65.80
_cell_angle_gamma 73.43
loop_
_symmetry_equiv_pos_as_xyz
'x,y,z'
loop_
_atom_site_label
_atom_site_type_symbol
_atom_site_fract_x
_atom_site_fract_y
_atom_site_fract_z
_atom_site_occupancy
Nb1 Nb 0.000 0.000 0.000 1
Rh1 Rh 0.351 0.558 0.741 1
V1 V 0.415 0.768 0.401 1
Rh2 Rh 0.063 0.647 0.226 1
V2 V 0.734 0.672 0.859 1
Rh3 Rh 0.937 0.353 0.774 1
Rh4 Rh 0.217 0.093 0.474 1
V3 V 0.585 0.232 0.599 1
V4 V 0.266 0.328 0.141 1
Rh5 Rh 0.500 0.000 0.000 1
Rh6 Rh 0.783 0.907 0.526 1
Rh7 Rh 0.649 0.442 0.259 1
# Space group = No. 12
# Fermi-level density of states = 0.92 states/eV per atom
# Formation enthalpy at 0 K = -0.013 eV/atom


[2]
# PBE NbV4Rh, optimized geometry
data_NbV4Rh
_symmetry_space_group_name_H-M 'P 1'
_symmetry_Int_Tables_number 1
_cell_length_a 4.970
_cell_length_b 4.970
_cell_length_c 4.970
_cell_angle_alpha 60.00
_cell_angle_beta 60.00
_cell_angle_gamma 60.00
loop_
_symmetry_equiv_pos_as_xyz
'x,y,z'
loop_
_atom_site_label
_atom_site_type_symbol
_atom_site_fract_x
_atom_site_fract_y
_atom_site_fract_z
_atom_site_occupancy
V1 V 0.626 0.626 0.123 1
V2 V 0.626 0.123 0.626 1
V3 V 0.626 0.626 0.626 1
V4 V 0.123 0.626 0.626 1
Rh1 Rh 0.250 0.250 0.250 1
Nb1 Nb 0.000 0.000 0.000 1
# Space group = No. 216
# Fermi-level density of states = 1.27 states/eV per atom
# Formation enthalpy at 0 K = -0.042 eV/atom


[3]
# PBE Nb2V2Rh, optimized geometry
data_Nb2V2Rh
_symmetry_space_group_name_H-M 'P 1'
_symmetry_Int_Tables_number 1
_cell_length_a 6.380
_cell_length_b 6.380
_cell_length_c 3.963
_cell_angle_alpha 90.00
_cell_angle_beta 90.00
_cell_angle_gamma 90.00
loop_
_symmetry_equiv_pos_as_xyz
'x,y,z'
loop_
_atom_site_label
_atom_site_type_symbol
_atom_site_fract_x
_atom_site_fract_y
_atom_site_fract_z
_atom_site_occupancy
Rh1 Rh 0.000 0.000 0.000 1
Nb1 Nb 0.674 0.826 0.500 1
V1 V 0.367 0.867 0.000 1
Rh2 Rh 0.500 0.500 0.000 1
Nb2 Nb 0.826 0.326 0.500 1
V2 V 0.133 0.367 0.000 1
Nb3 Nb 0.326 0.174 0.500 1
Nb4 Nb 0.174 0.674 0.500 1
V3 V 0.633 0.133 0.000 1
V4 V 0.867 0.633 0.000 1
# Space group = No. 127
# Energy above the lowest structure with this stoichiometry = 39 meV per atom
# Fermi-level density of states = 1.33 states/eV per atom
# Formation enthalpy at 0 K = 0.070 eV/atom